# Tb4NdCo4 (PBE-GGA, optimized geometry)
data_Tb4NdCo4
_chemical_formula_sum 'Tb8 Nd2 Co8'
_space_group_name_H-M_alt 'P 42/n'
_space_group_IT_number 86
_cell_length_a 8.5056
_cell_length_b 8.5056
_cell_length_c 5.5905
_cell_angle_alpha 90.00
_cell_angle_beta 90.00
_cell_angle_gamma 90.00
loop_
_space_group_symop_operation_xyz
'x,y,z'
'-x,-y,-z'
'-y,x+1/2,z+1/2'
'y,-x+1/2,-z+1/2'
'-x+1/2,-y+1/2,z'
'x+1/2,y+1/2,-z'
'y+1/2,-x,z+1/2'
'-y+1/2,x,-z+1/2'
loop_
_atom_site_label
_atom_site_type_symbol
_atom_site_fract_x
_atom_site_fract_y
_atom_site_fract_z
Tb1 Tb 0.0637 0.6728 0.1342
Nd1 Nd 0.2500 0.2500 0.2500
Co1 Co 0.0170 0.6099 0.6166
# D(E_F): 10.72 states/eV per cell
# Final energy: -5.78 eV per atom